[1]
The following is a DFT calculation (PBE-GGA) of a relaxed Cd3Ag6Hg crystal. Values from VASP.

Quantum ESPRESSO input file:
```
&SYSTEM
  ibrav = 0, nat = 20, ntyp = 3
/
ATOMIC_SPECIES
Ag 107.87 Ag.upf
Cd 112.41 Cd.upf
Hg 200.59 Hg.upf
CELL_PARAMETERS angstrom
5.138 0.259 -0.803
0.878 7.365 -2.984
-1.756 -0.365 10.609
ATOMIC_POSITIONS angstrom
Ag 3.213 6.159 5.358
Ag 1.497 6.204 0.421
Ag 1.047 1.100 1.464
Ag 4.505 7.156 -2.394
Ag 0.626 4.596 5.307
Ag 3.649 5.512 2.469
Ag 1.508 3.333 -0.491
Ag 2.752 3.926 7.313
Ag 2.763 1.055 6.401
Ag 3.634 2.663 1.516
Ag 0.611 1.747 4.354
Ag -0.245 0.103 9.216
Cd 1.070 3.920 2.376
Cd 4.063 4.901 -0.433
Cd 0.197 2.358 7.255
Cd 2.348 1.611 9.277
Cd 1.912 5.648 -2.455
Cd 3.190 3.339 4.447
Hg 3.157 0.437 3.462
Hg 1.103 6.822 3.360
```

Summary:
E above lowest polymorph: 0 meV/atom
Energy: -2.0284 eV/atom
Formation energy: -0.013 eV/atom
DOS at the Fermi energy: 5.45 states/eV per cell

[2]
The following is a DFT calculation (PBE-GGA) of a relaxed Cd6AgHg2 crystal. Values from VASP.

Quantum ESPRESSO input file:
```
&SYSTEM
  ibrav = 0, nat = 9, ntyp = 3
/
ATOMIC_SPECIES
Cd 112.41 Cd.upf
Ag 107.87 Ag.upf
Hg 200.59 Hg.upf
CELL_PARAMETERS angstrom
3.216 0.000 0.000
-1.608 7.256 -4.168
0.000 -2.632 10.303
ATOMIC_POSITIONS angstrom
Cd 1.608 4.366 3.965
Cd 0.000 3.437 1.607
Cd 1.608 1.572 -0.184
Cd 0.000 3.052 6.319
Cd 1.608 1.188 4.527
Cd 0.000 0.259 2.170
Ag 3.216 -1.316 5.151
Hg 0.000 4.679 -1.197
Hg 1.608 -0.054 7.331
```

Summary:
E above lowest polymorph: 0 meV/atom
Energy: -0.9713 eV/atom
Formation energy: 0.023 eV/atom
DOS at the Fermi energy: 2.02 states/eV per cell

[3]
The following is a DFT calculation (PBE-GGA) of a relaxed CdAgHg crystal. Values from VASP.

Quantum ESPRESSO input file:
```
&SYSTEM
  ibrav = 0, nat = 12, ntyp = 3
/
ATOMIC_SPECIES
Hg 200.59 Hg.upf
Ag 107.87 Ag.upf
Cd 112.41 Cd.upf
CELL_PARAMETERS angstrom
4.832 0.000 0.000
0.000 5.511 0.000
0.000 0.000 9.376
ATOMIC_POSITIONS angstrom
Hg 3.683 0.772 3.129
Hg 1.267 4.739 6.248
Hg 1.267 1.983 7.817
Hg 3.683 3.528 1.560
Ag 1.266 4.431 3.108
Ag 1.266 1.675 1.580
Ag 3.683 3.836 7.796
Ag 3.683 1.081 6.268
Cd 3.683 0.942 9.293
Cd 1.267 4.569 0.084
Cd 3.683 3.698 4.772
Cd 1.267 1.813 4.605
```

Summary:
E above lowest polymorph: 0 meV/atom
Energy: -1.3428 eV/atom
Formation energy: 0.013 eV/atom
DOS at the Fermi energy: 2.80 states/eV per cell

[4]
The following is a DFT calculation (PBE-GGA) of a relaxed Cd2Ag3Hg crystal. Values from VASP.

Quantum ESPRESSO input file:
```
&SYSTEM
  ibrav = 0, nat = 12, ntyp = 3
/
ATOMIC_SPECIES
Ag 107.87 Ag.upf
Cd 112.41 Cd.upf
Hg 200.59 Hg.upf
CELL_PARAMETERS angstrom
-2.932 -0.404 -3.837
4.040 -1.875 -2.890
-2.151 -8.557 2.546
ATOMIC_POSITIONS angstrom
Ag 0.928 -4.455 -0.240
Ag 0.507 -3.505 -3.078
Ag 2.609 -6.743 -1.283
Ag -2.589 -6.850 -0.360
Ag -0.986 -9.189 -1.339
Ag -1.211 -1.113 -2.018
Cd -1.819 -4.016 -1.247
Cd 0.188 -7.190 0.614
Cd 3.254 -3.964 -2.069
Cd -0.160 -6.387 -2.265
Hg 1.849 -9.547 -0.407
Hg 1.590 -1.606 -1.046
```

Summary:
E above lowest polymorph: 0 meV/atom
Energy: -1.7873 eV/atom
Formation energy: -0.006 eV/atom
DOS at the Fermi energy: 5.07 states/eV per cell

[5]
The following is a DFT calculation (PBE-GGA) of a relaxed CdAg4Hg2 crystal. Values from VASP.

Quantum ESPRESSO input file:
```
&SYSTEM
  ibrav = 0, nat = 7, ntyp = 3
/
ATOMIC_SPECIES
Cd 112.41 Cd.upf
Hg 200.59 Hg.upf
Ag 107.87 Ag.upf
CELL_PARAMETERS angstrom
-1.296 -4.234 2.840
1.825 -3.121 -3.821
6.568 -3.619 2.472
ATOMIC_POSITIONS angstrom
Cd 0.000 0.000 0.000
Hg 1.664 -3.665 0.167
Hg 5.434 -7.310 1.324
Ag 4.117 -3.642 1.320
Ag 2.981 -7.333 0.171
Ag -0.648 -2.117 1.420
Ag 0.913 -1.561 -1.911
```

Summary:
E above lowest polymorph: 415 meV/atom
Energy: -1.4035 eV/atom
Formation energy: 0.443 eV/atom
DOS at the Fermi energy: 2.06 states/eV per cell

[6]
The following is a DFT calculation (PBE-GGA) of a relaxed Cd2Ag3Hg crystal. Values from VASP.

Quantum ESPRESSO input file:
```
&SYSTEM
  ibrav = 0, nat = 12, ntyp = 3
/
ATOMIC_SPECIES
Cd 112.41 Cd.upf
Ag 107.87 Ag.upf
Hg 200.59 Hg.upf
CELL_PARAMETERS angstrom
-4.796 -1.540 -1.474
0.854 -2.685 4.428
-4.356 6.155 5.363
ATOMIC_POSITIONS angstrom
Cd -2.775 1.905 5.960
Cd -4.825 2.519 8.042
Cd -5.523 0.025 2.356
Cd -3.472 -0.589 0.274
Ag -7.660 3.094 7.123
Ag -5.606 2.579 5.114
Ag -0.637 -1.164 1.194
Ag -4.689 -0.144 5.270
Ag -3.608 2.074 3.046
Ag -2.691 -0.648 3.203
Hg -7.600 2.983 3.031
Hg -0.698 -1.052 5.285
```

Summary:
E above lowest polymorph: 58 meV/atom
Energy: -1.7295 eV/atom
Formation energy: 0.051 eV/atom
DOS at the Fermi energy: 3.20 states/eV per cell

[7]
The following is a DFT calculation (PBE-GGA) of a relaxed Cd6Ag2Hg crystal. Values from VASP.

Quantum ESPRESSO input file:
```
&SYSTEM
  ibrav = 0, nat = 18, ntyp = 3
/
ATOMIC_SPECIES
Cd 112.41 Cd.upf
Hg 200.59 Hg.upf
Ag 107.87 Ag.upf
CELL_PARAMETERS angstrom
8.665 -1.483 0.611
-0.024 6.703 2.226
-1.489 0.066 6.904
ATOMIC_POSITIONS angstrom
Cd 2.919 5.354 8.022
Cd 3.489 2.400 6.931
Cd -0.001 1.119 1.099
Cd -0.353 5.360 5.061
Cd 4.234 -0.068 1.719
Cd 0.718 3.435 2.998
Cd 4.628 0.778 4.654
Cd 2.524 4.509 5.087
Cd 7.153 4.167 8.641
Cd 6.434 1.851 6.743
Cd 3.663 2.886 2.810
Cd 7.506 -0.074 4.679
Hg 6.228 4.473 3.472
Hg 0.924 0.813 6.269
Ag 0.609 3.607 7.263
Ag 5.336 4.649 6.312
Ag 1.817 0.638 3.429
Ag 6.543 1.679 2.478
```

Summary:
E above lowest polymorph: 0 meV/atom
Energy: -1.2376 eV/atom
Formation energy: 0.040 eV/atom
DOS at the Fermi energy: 3.97 states/eV per cell

[8]
The following is a DFT calculation (PBE-GGA) of a relaxed Cd6Ag12Hg crystal. Values from VASP.

Quantum ESPRESSO input file:
```
&SYSTEM
  ibrav = 0, nat = 19, ntyp = 3
/
ATOMIC_SPECIES
Ag 107.87 Ag.upf
Hg 200.59 Hg.upf
Cd 112.41 Cd.upf
CELL_PARAMETERS angstrom
7.175 0.487 0.584
-0.606 7.166 0.584
-0.606 -0.706 7.155
ATOMIC_POSITIONS angstrom
Ag -0.054 0.927 2.785
Ag 5.112 3.859 3.906
Ag 2.923 4.112 2.077
Ag 3.410 6.610 6.913
Ag 2.342 5.531 4.495
Ag 5.039 4.223 7.739
Ag 0.851 3.088 4.417
Ag 3.040 2.835 6.245
Ag 6.017 6.020 5.537
Ag 3.621 1.416 3.827
Ag 2.553 0.337 1.409
Ag 0.924 2.725 0.584
Hg 0.000 0.000 0.000
Cd 5.748 1.943 5.857
Cd 0.215 5.004 2.466
Cd 4.481 6.502 2.958
Cd 4.914 2.252 1.396
Cd 1.481 0.445 5.364
Cd 1.049 4.695 6.926
```

Summary:
Energy: -2.0775 eV/atom
Formation energy: 0.028 eV/atom
DOS at the Fermi energy: 5.64 states/eV per cell

[9]
The following is a DFT calculation (PBE-GGA) of a relaxed Cd2AgHg8 crystal. Values from VASP.

Quantum ESPRESSO input file:
```
&SYSTEM
  ibrav = 0, nat = 11, ntyp = 3
/
ATOMIC_SPECIES
Hg 200.59 Hg.upf
Cd 112.41 Cd.upf
Ag 107.87 Ag.upf
CELL_PARAMETERS angstrom
5.166 0.000 0.000
0.000 5.166 0.000
-0.001 0.000 10.508
ATOMIC_POSITIONS angstrom
Hg 0.000 2.583 8.980
Hg 2.583 2.583 7.164
Hg 2.583 0.000 5.254
Hg 2.583 5.167 8.980
Hg 0.000 2.583 5.254
Hg 2.583 2.583 3.344
Hg 2.583 0.000 1.528
Hg 5.166 2.583 1.528
Cd 5.166 0.000 7.153
Cd 0.000 5.166 3.355
Ag 0.000 0.000 0.000
```

Summary:
Energy: -0.5905 eV/atom
Formation energy: 0.055 eV/atom
DOS at the Fermi energy: 4.08 states/eV per cell

[10]
The following is a DFT calculation (PBE-GGA) of a relaxed Cd8Ag2Hg3 crystal. Values from VASP.

Quantum ESPRESSO input file:
```
&SYSTEM
  ibrav = 0, nat = 13, ntyp = 3
/
ATOMIC_SPECIES
Ag 107.87 Ag.upf
Hg 200.59 Hg.upf
Cd 112.41 Cd.upf
CELL_PARAMETERS angstrom
4.915 0.000 0.000
0.000 7.686 3.113
0.000 -0.070 8.292
ATOMIC_POSITIONS angstrom
Ag 2.457 1.708 2.557
Ag 2.457 5.908 8.848
Hg 2.457 0.000 0.000
Hg 0.000 5.373 4.658
Hg 0.000 2.243 6.748
Cd 2.457 6.502 6.061
Cd 0.000 6.716 10.058
Cd 0.000 2.542 3.807
Cd 2.457 3.106 8.328
Cd 2.457 4.510 3.077
Cd 2.457 1.114 5.345
Cd 0.000 0.900 1.348
Cd 4.914 5.074 7.598
```

Summary:
Energy: -1.0424 eV/atom
Formation energy: 0.029 eV/atom
DOS at the Fermi energy: 4.66 states/eV per cell

[11]
The following is a DFT calculation (PBE-GGA) of a relaxed CdAgHg crystal. Values from VASP.

Quantum ESPRESSO input file:
```
&SYSTEM
  ibrav = 0, nat = 3, ntyp = 3
/
ATOMIC_SPECIES
Cd 112.41 Cd.upf
Ag 107.87 Ag.upf
Hg 200.59 Hg.upf
CELL_PARAMETERS angstrom
4.704 0.000 0.000
2.352 4.074 0.000
2.352 1.358 3.841
ATOMIC_POSITIONS angstrom
Cd 0.000 0.000 0.000
Ag 7.056 4.074 2.880
Hg 4.704 2.716 1.920
```

Summary:
E above lowest polymorph: 67 meV/atom
Energy: -1.2760 eV/atom
Formation energy: 0.080 eV/atom
DOS at the Fermi energy: 1.99 states/eV per cell

[12]
The following is a DFT calculation (PBE-GGA) of a relaxed Cd8AgHg2 crystal. Values from VASP.

Quantum ESPRESSO input file:
```
&SYSTEM
  ibrav = 0, nat = 11, ntyp = 3
/
ATOMIC_SPECIES
Cd 112.41 Cd.upf
Hg 200.59 Hg.upf
Ag 107.87 Ag.upf
CELL_PARAMETERS angstrom
-0.169 -1.707 5.179
6.594 0.888 2.981
1.524 6.787 3.523
ATOMIC_POSITIONS angstrom
Cd 3.136 4.229 7.855
Cd 4.813 1.741 3.829
Cd 3.822 -0.699 5.516
Cd 2.603 -0.119 2.644
Cd 0.844 0.188 5.212
Cd 7.105 5.781 6.471
Cd 5.734 2.809 6.460
Cd 2.215 3.160 5.224
Hg 2.593 2.962 2.297
Hg 5.525 4.714 4.207
Ag -0.085 -0.853 2.590
```

Summary:
E above lowest polymorph: 21 meV/atom
Energy: -0.9291 eV/atom
Formation energy: 0.051 eV/atom
DOS at the Fermi energy: 3.37 states/eV per cell